Entry 1:
The following is a GGA-PBE calculation of a geometry-optimized Rb3HoU2Te6 structure, from Alexandria via LeMat-Bulk.

Unit cell a=7.8484 b=7.8484 c=8.9854 alpha=98.37 beta=98.37 gamma=120.00
Positions (direct):
Rb: 0.0000 0.0000 0.0000
Rb: 0.3325 0.6675 0.0000
Rb: 0.6675 0.3325 0.0000
Ho: 0.5000 0.5000 0.5000
U: 0.1666 0.8334 0.5000
U: 0.8334 0.1666 0.5000
Te: 0.1033 0.4329 0.2988
Te: 0.2375 0.2375 0.7014
Te: 0.4329 0.1033 0.2988
Te: 0.5671 0.8967 0.7012
Te: 0.7625 0.7625 0.2986
Te: 0.8967 0.5671 0.7012

Output
Formation energy (no corrections), meV per atom: -1005
Symmetry: C2/m



Entry 2:
The following is a GGA-PBE calculation of a geometry-optimized NbFeAsRu2 structure, from Alexandria via LeMat-Bulk.

Unit cell a=4.4776 b=4.4776 c=4.3030 alpha=90.00 beta=90.00 gamma=90.00
Positions (direct):
Nb: 0.0000 0.0000 0.0000
Fe: 0.5000 0.5000 0.0000
As: 0.5000 0.5000 0.5000
Ru: 0.0000 0.5000 0.5000
Ru: 0.5000 0.0000 0.5000

Output
Symmetry: P4/mmm
ΔH_f (0 K), eV/f.u.: 3.9



Entry 3:
The following is a GGA-PBE calculation of a geometry-optimized Ca2ZnNi structure, from Alexandria via LeMat-Bulk.

Unit cell a=3.5308 b=3.5579 c=7.1486 alpha=90.00 beta=90.19 gamma=90.00
Positions (direct):
Ca: 0.9997 0.0000 0.2323
Ca: 0.0003 0.0000 0.7677
Zn: 0.5000 0.5000 0.5000
Ni: 0.5000 0.5000 0.0000

Output
Symmetry: P2/m
ΔH_f (0 K), eV/f.u.: -0.4



Entry 4:
The following is a GGA-PBE calculation of a geometry-optimized MnCrFeTc structure, from Alexandria via LeMat-Bulk.

Unit cell a=4.1113 b=4.1113 c=4.1113 alpha=60.00 beta=60.00 gamma=60.00
Positions (direct):
Mn: 0.0000 0.0000 0.0000
Cr: 0.5000 0.5000 0.5000
Fe: 0.7500 0.7500 0.7500
Tc: 0.2500 0.2500 0.2500

Output
Symmetry: F-43m
ΔH_f (0 K), eV/f.u.: 0.3



Entry 5:
The following is a GGA-PBE calculation of a geometry-optimized ThZnGe2Pt2 structure, from Alexandria via LeMat-Bulk.

Unit cell a=4.3462 b=4.3462 c=6.8503 alpha=90.00 beta=90.00 gamma=120.00
Positions (direct):
Th: 0.0000 0.0000 0.0000
Zn: 0.0000 0.0000 0.5000
Ge: 0.3333 0.6667 0.7294
Ge: 0.6667 0.3333 0.2706
Pt: 0.3333 0.6667 0.3200
Pt: 0.6667 0.3333 0.6800

Output
Symmetry: P-3m1
ΔH_f (0 K), eV/f.u.: -4.3



Entry 6:
The following is a GGA-PBE calculation of a geometry-optimized Co2NiAs structure, from Alexandria via LeMat-Bulk.

Unit cell a=4.3786 b=4.3786 c=4.3786 alpha=131.33 beta=131.33 gamma=71.30
Positions (direct):
Co: 0.0000 0.0000 0.0000
Co: 0.7500 0.2500 0.5000
Ni: 0.2500 0.7500 0.5000
As: 0.5000 0.5000 0.0000

Output
Symmetry: I-4m2
ΔH_f (0 K), eV/f.u.: -0.1



For reference, density of states at the Fermi level by record: 1.159, 0.987, 0.728, 1.004, 0.512, 0.888 states/eV/atom.